A plane-wave DFT calculation with GGA-PBE was carried out for crystalline Mg3P at its relaxed geometry.

abc: 5.8381 10.1574 5.1954
angles: 90.00 90.00 90.00
Positions (direct):
Mg (0.0000, 0.1709, 0.2500)
Mg (0.0000, 0.8291, 0.7500)
Mg (0.2475, 0.4175, 0.2500)
Mg (0.2475, 0.5825, 0.7500)
Mg (0.2525, 0.0825, 0.7500)
Mg (0.2525, 0.9175, 0.2500)
Mg (0.5000, 0.3291, 0.7500)
Mg (0.5000, 0.6709, 0.2500)
Mg (0.7475, 0.0825, 0.7500)
Mg (0.7475, 0.9175, 0.2500)
Mg (0.7525, 0.4175, 0.2500)
Mg (0.7525, 0.5825, 0.7500)
P (0.0000, 0.3333, 0.7500)
P (0.0000, 0.6667, 0.2500)
P (0.5000, 0.1667, 0.2500)
P (0.5000, 0.8333, 0.7500)

V (Å³/atom): 19.26
Density of states at the Fermi level (states/eV/atom): 0.512
Symmetry: Cmcm, No. 63
Magnetization (μB/f.u.): 0.00
DFT formation energy (eV/f.u.): -0.4



A plane-wave DFT calculation with GGA-PBE was carried out for crystalline Y2BiS at its relaxed geometry.

abc: 7.4075 7.4075 7.4075
angles: 90.00 90.00 90.00
Positions (direct):
Y (0.2500, 0.2500, 0.2500)
Y (0.2500, 0.2500, 0.7500)
Y (0.2500, 0.7500, 0.2500)
Y (0.2500, 0.7500, 0.7500)
Y (0.7500, 0.2500, 0.2500)
Y (0.7500, 0.2500, 0.7500)
Y (0.7500, 0.7500, 0.2500)
Y (0.7500, 0.7500, 0.7500)
Bi (0.0000, 0.0000, 0.0000)
Bi (0.0000, 0.5000, 0.5000)
Bi (0.5000, 0.0000, 0.5000)
Bi (0.5000, 0.5000, 0.0000)
S (0.0000, 0.0000, 0.5000)
S (0.0000, 0.5000, 0.0000)
S (0.5000, 0.0000, 0.0000)
S (0.5000, 0.5000, 0.5000)

V (Å³/atom): 25.40
Polymorph energy (0 for the lowest one) (eV/atom): 0.3948
Density of states at the Fermi level (states/eV/atom): 0.852
Symmetry: Fm-3m, No. 225
Magnetization (μB/f.u.): 0.72
ΔE_f (raw) (eV/atom): -0.9828



A plane-wave DFT calculation with GGA-PBE was carried out for crystalline AlTl2AsCl at its relaxed geometry.

abc: 5.5541 5.5541 4.6598
angles: 90.00 90.00 90.00
Positions (direct):
Al (0.0000, 0.0000, 0.0000)
Tl (0.0000, 0.5000, 0.0000)
Tl (0.5000, 0.0000, 0.0000)
As (0.5000, 0.5000, 0.5000)
Cl (0.0000, 0.0000, 0.5000)

V (Å³/atom): 28.75
Density of states at the Fermi level (states/eV/atom): 0.453
Symmetry: P4/mmm, No. 123
Magnetization (μB/f.u.): 1.44
ΔE_f (raw) (eV/atom): 0.1708



Which value of magnetization does entry 1 give? 0.00 μB/f.u.



Look up the density of states at the Fermi level of the first one. 0.512 states/eV/atom



Look up the density of states at the Fermi level of the second one. 0.852 states/eV/atom



Number 1 is which compound? Mg3P